(1)
## FeAsPd (PBE)

Data for a relaxed structure of FeAsPd.

- energy of formation (kJ/mol of formula units) = 3
- space-group type = I4mm, No. 107

Cell: 3.4198 3.4198 4.5514 Å, 112.07 112.07 90.00°
Last column: magnetic moment on the atom in μB.
Fractional coordinates of all 3 atoms:
As: 0.6161 0.6161 0.2322  -0.04
Fe: 0.2864 0.2864 0.5729  2.81
Pd: 0.9475 0.9475 0.8949  0.14


(2)
## Sn2BiSb4Pb (PBE)

Data for a relaxed structure of Sn2BiSb4Pb.

- space-group type = Fmm2, No. 42
- raw formation energy (meV per atom) = 50.3

Cell: 6.4436 6.4436 7.7610 Å, 116.24 116.24 86.26°
Fractional coordinates of all 8 atoms:
Sn: 0.1630 0.6630 0.5000
Sn: 0.6630 0.1630 0.5000
Bi: 0.9193 0.9193 0.0000
Sb: 0.9598 0.4540 0.0000
Sb: 0.4540 0.9598 0.0000
Sb: 0.1993 0.1993 0.5003
Sb: 0.6990 0.6990 0.4997
Pb: 0.4399 0.4399 0.0000


(3)
## La7OsCl12 (PBE)

Data for a relaxed structure of La7OsCl12.

- space-group type = R-3, No. 148
- raw formation energy (meV per atom) = -1984.8

Cell: 10.7723 9.4439 9.4439 Å, 106.45 112.35 112.35°
Last column: magnetic moment on the atom in μB.
Fractional coordinates of all 20 atoms:
La: 0.1154 0.8000 0.1033  0.07
La: 0.9879 0.1033 0.3033  0.07
La: 0.6846 0.6967 0.8000  0.07
La: 0.5000 0.0000 0.0000  -0.03
La: 0.3154 0.3033 0.2000  0.07
La: 0.0121 0.8967 0.6967  0.07
La: 0.8846 0.2000 0.8967  0.07
Os: 0.0000 0.0000 0.0000  0.01
Cl: 0.2032 0.5239 0.1236  0.00
Cl: 0.9204 0.1236 0.5997  0.00
Cl: 0.6328 0.8082 0.0908  0.00
Cl: 0.4579 0.0908 0.2826  0.00
Cl: 0.3207 0.4003 0.5239  0.00
Cl: 0.1753 0.7174 0.8082  0.00
Cl: 0.8247 0.2826 0.1918  0.00
Cl: 0.6793 0.5997 0.4761  0.00
Cl: 0.5421 0.9092 0.7174  0.00
Cl: 0.3672 0.1918 0.9092  0.00
Cl: 0.0796 0.8764 0.4003  0.00
Cl: 0.7968 0.4761 0.8764  0.00


> What is the formula in the third record?

La7OsCl12